Record 1
Computed, not measured: AlZnRu at its PBEsol-relaxed geometry at the meta-GGA SCAN level of DFT.

The structure in POSCAR format:
```
AlZnRu
1.0
-1.162 1.137 2.238
1.636 -2.948 2.348
2.083 3.475 -0.684
Al Zn Ru
1 1 1
direct
0.065 0.000 0.000
0.253 0.667 0.333
0.682 0.333 0.667
```

Results
- V: 40.4 Å³/cell
- Total magnetization: 0.00 μB per atom
- Calculated formation energy: -0.973 eV/f.u.
- Total energy: -19.0221 eV per atom

***

Record 2
Computed, not measured: AlZn2Ru at its PBEsol-relaxed geometry at the meta-GGA SCAN level of DFT.

The structure in POSCAR format:
```
AlZn2Ru
1.0
3.590 0.000 0.000
0.000 3.590 0.000
-1.795 -1.795 4.150
Zn Ru Al
2 1 1
direct
0.750 0.250 0.500
0.250 0.750 0.500
0.000 0.000 0.000
0.500 0.500 0.000
```

Results
- V: 53.5 Å³/cell
- Total magnetization: 0.12 μB per atom
- Calculated formation energy: -1.505 eV/f.u.
- Total energy: -17.7784 eV per atom

***

Record 3
Computed, not measured: AlZn2Ru at its PBEsol-relaxed geometry at the meta-GGA SCAN level of DFT.

The structure in POSCAR format:
```
AlZn2Ru
1.0
3.675 0.000 0.000
0.000 3.675 0.000
-1.837 -1.837 3.983
Al Ru Zn
1 1 2
direct
0.500 0.500 0.000
0.250 0.750 0.500
0.000 0.000 0.000
0.750 0.250 0.500
```

Results
- V: 53.8 Å³/cell
- Total magnetization: 0.11 μB per atom
- Calculated formation energy: -1.382 eV/f.u.
- Total energy: -17.7477 eV per atom

***

Question: Which value of total energy does entry 1 give?
Answer: -19.0221 eV per atom

***

Question: Number 2 is which compound?
Answer: AlZn2Ru